(1)
Computed, not measured: an optimized crystal structure of ScAlW2 at the PBE-GGA level of DFT.

Computed properties:
formation energy from the elements	-0.41	eV per formula unit

```
ScAlW2
1.0
-0.880 -2.567 -1.821
3.147 -0.756 -0.455
-0.126 -3.703 5.282
W Sc Al
2 1 1
Cartesian
1.103 -2.558 0.141 W
-0.003 -0.092 0.132 W
1.038 -4.469 2.867 Sc
-0.060 -1.758 2.508 Al
```

(2)
Computed, not measured: an optimized crystal structure of Mg3ScPb6 at the PBE-GGA level of DFT.

Computed properties:
formation energy from the elements	-0.57	eV per formula unit

```
Mg3ScPb6
1.0
5.406 0.000 0.000
0.000 8.806 -1.912
0.000 -1.444 11.786
Pb Sc Mg
12 2 6
Cartesian
1.352 0.816 1.842 Pb
4.054 6.546 8.031 Pb
1.351 3.959 0.170 Pb
4.054 0.469 7.743 Pb
4.055 7.718 -0.321 Pb
1.352 1.441 5.305 Pb
1.352 6.893 2.131 Pb
1.351 -0.356 10.195 Pb
4.054 5.921 4.569 Pb
4.054 2.559 3.062 Pb
1.351 4.804 6.811 Pb
4.054 3.403 9.704 Pb
1.351 7.593 5.276 Sc
4.054 -0.231 4.598 Sc
4.054 2.091 -0.136 Mg
1.351 2.201 8.445 Mg
1.351 5.271 10.009 Mg
4.054 5.161 1.428 Mg
1.351 4.219 3.681 Mg
4.054 3.143 6.193 Mg
```

(3)
Computed, not measured: an optimized crystal structure of La2TlCdN at the PBE-GGA level of DFT.

Computed properties:
uncorrected formation energy	-0.581	eV per atom

```
La2TlCdN
1.0
-0.555 -4.386 -2.452
4.652 -1.381 1.418
-1.846 -2.041 4.068
Cd Tl La N
1 1 2 1
Cartesian
-0.923 -1.020 2.034 Cd
1.125 -3.904 1.517 Tl
2.326 -0.691 0.709 La
-0.278 -2.193 -1.226 La
0.000 0.000 0.000 N
```

(4)
Computed, not measured: an optimized crystal structure of MnCd4Se at the PBE-GGA level of DFT.

Computed properties:
uncorrected formation energy	0.366	eV per atom

```
MnCd4Se
1.0
0.000 4.094 4.094
4.094 0.000 4.094
4.094 4.094 0.000
Se Cd Mn
1 4 1
Cartesian
0.000 0.000 0.000 Se
5.114 3.073 5.114 Cd
5.114 5.114 3.073 Cd
3.073 5.114 5.114 Cd
3.073 3.073 3.073 Cd
6.141 6.141 6.141 Mn
```

Total magnetization values, unit μB per cell, following the record order: 0.0, 0.0, 0.0, 4.6.